1.
Density functional theory data (PBE-GGA) for crystalline Li2NbB at its relaxed geometry.

The formation energy is 0.65 eV per atom.

The structure belongs to space group I-42d (No. 122); the cell edges are 6.8833, 6.8833 and 4.5241 Å and the angles 90.00°, 90.00° and 90.00°. Symmetry generates all atoms from Li at (0.1848, 0.2500, 0.1250), Nb at (0.0000, 0.0000, 0.5000) and B at (0.0000, 0.0000, 0.0000).


2.
Density functional theory data (PBE-GGA) for crystalline LiNbB4 at its relaxed geometry.

The formation energy is -0.30 eV per atom.

The structure belongs to space group Cmmm (No. 65); the cell edges are 7.0233, 9.0149 and 3.2371 Å and the angles 90.00°, 90.00° and 90.00°. Symmetry generates all atoms from Li at (0.1705, 0.0000, 0.0000), Nb at (0.0000, 0.2985, 0.0000), B at (0.0000, 0.0955, 0.5000), B at (0.1209, 0.5000, 0.5000) and B at (0.2250, 0.1597, 0.5000).


3.
Density functional theory data (PBE-GGA) for crystalline LiNbB at its relaxed geometry.

The formation energy is -0.09 eV per atom. As for the energy above the lowest structure with this stoichiometry: 17.5 meV per atom.

The structure belongs to space group P2_1/m (No. 11); the cell edges are 4.2999, 3.0231 and 6.0181 Å and the angles 90.00°, 103.66° and 90.00°. Symmetry generates all atoms from Li at (0.1290, 0.2500, 0.1590), Nb at (0.3103, 0.2500, 0.6439) and B at (0.4348, 0.7500, 0.9573).


4.
Density functional theory data (PBE-GGA) for crystalline Li3NbB at its relaxed geometry.

The formation energy is 2.09 eV per atom. As for the energy above the lowest structure with this stoichiometry: 1223.0 meV per atom.

The structure belongs to space group Pm-3m (No. 221); the cell edges are 5.0160, 5.0160 and 5.0160 Å and the angles 90.00°, 90.00° and 90.00°. Symmetry generates all atoms from Li at (0.0000, 0.0000, 0.5000), Nb at (0.0000, 0.0000, 0.0000) and B at (0.5000, 0.5000, 0.5000).


5.
Density functional theory data (PBE-GGA) for crystalline LiNb4B2 at its relaxed geometry.

The formation energy is 1.02 eV per atom.

The structure belongs to space group I4/mmm (No. 139); the cell edges are 3.9284, 3.9284 and 13.1812 Å and the angles 90.00°, 90.00° and 90.00°. Symmetry generates all atoms from Li at (0.0000, 0.0000, 0.0000), Nb at (0.0000, 0.0000, 0.1840), Nb at (0.0000, 0.5000, 0.0000) and B at (0.0000, 0.0000, 0.3628).


6.
Density functional theory data (PBE-GGA) for crystalline LiNbB at its relaxed geometry.

The formation energy is -0.11 eV per atom. As for the energy above the lowest structure with this stoichiometry: 0.0 meV per atom.

The structure belongs to space group P2_1/m (No. 11); the cell edges are 4.6195, 3.0720 and 5.2120 Å and the angles 90.00°, 103.94° and 90.00°. Symmetry generates all atoms from Li at (0.0446, 0.2500, 0.1641), Nb at (0.4323, 0.2500, 0.7252) and B at (0.0823, 0.7500, 0.4721).


7.
Density functional theory data (PBE-GGA) for crystalline LiNbB at its relaxed geometry.

The formation energy is -0.06 eV per atom. As for the energy above the lowest structure with this stoichiometry: 46.8 meV per atom.

The structure belongs to space group C2/m (No. 12); the cell edges are 10.6189, 3.0357 and 4.6466 Å and the angles 90.00°, 93.52° and 90.00°. Symmetry generates all atoms from Li at (0.0848, 0.0000, 0.3309), Nb at (0.1451, 0.5000, 0.8556) and B at (0.2396, 0.5000, 0.4101).


8.
Density functional theory data (PBE-GGA) for crystalline LiNbB at its relaxed geometry.

The formation energy is 0.00 eV per atom. As for the energy above the lowest structure with this stoichiometry: 109.2 meV per atom.

The structure belongs to space group Cm (No. 8); the cell edges are 11.5900, 3.0419 and 4.6499 Å and the angles 90.00°, 98.12° and 90.00°. Symmetry generates all atoms from Li at (0.0000, 0.0000, 0.0000), Li at (0.0730, 0.5000, 0.5508), Nb at (0.2400, 0.5000, 0.1332), Nb at (0.3166, 0.0000, 0.6847), B at (0.3965, 0.0000, 0.2373) and B at (0.4144, 0.5000, 0.4281).


9.
Density functional theory data (PBE-GGA) for crystalline LiNbB at its relaxed geometry.

The formation energy is 0.00 eV per atom. As for the energy above the lowest structure with this stoichiometry: 114.0 meV per atom.

The structure belongs to space group P1 (No. 1); the cell edges are 2.9834, 4.4191 and 7.1256 Å and the angles 90.12°, 90.01° and 109.66°. Symmetry generates all atoms from Li at (0.0000, 0.0000, 0.0000), Li at (0.2543, 0.5224, 0.1934), Nb at (0.7198, 0.4564, 0.7633), Nb at (0.9692, 0.9523, 0.5039), B at (0.2542, 0.5232, 0.4974) and B at (0.6817, 0.3777, 0.4340).


10.
Density functional theory data (PBE-GGA) for crystalline LiNbB2O6 at its relaxed geometry.

The uncorrected formation energy comes out at -2392 meV per atom.

The structure belongs to space group P2_1/c (No. 14); the cell edges are 4.9908, 9.2644 and 11.6047 Å and the angles 90.00°, 102.61° and 90.00°. Symmetry generates all atoms from Li at (0.0643, 0.0453, 0.3927), Nb at (0.0051, 0.2035, 0.1299), B at (0.0199, 0.6327, 0.6373), B at (0.4506, 0.1801, 0.6081), O at (0.0204, 0.5021, 0.3196), O at (0.0357, 0.2451, 0.3050), O at (0.1111, 0.6481, 0.5340), O at (0.2054, 0.1064, 0.5759), O at (0.2926, 0.6363, 0.8966) and O at (0.4068, 0.1798, 0.1475).


11.
Density functional theory data (PBE-GGA) for crystalline LiNb2B2Ru5 at its relaxed geometry.

The formation energy is -0.32 eV per atom.

The structure belongs to space group P4/mbm (No. 127); the cell edges are 9.1814, 9.1814 and 3.0365 Å and the angles 90.00°, 90.00° and 90.00°. Symmetry generates all atoms from Li at (0.0000, 0.0000, 0.0000), Nb at (0.1762, 0.3238, 0.0000), B at (0.1283, 0.6283, 0.0000), Ru at (0.0000, 0.5000, 0.5000) and Ru at (0.0711, 0.7880, 0.5000).


12.
Density functional theory data (PBE-GGA) for crystalline LiNdB at its relaxed geometry.

The formation energy is -0.12 eV per atom.

The structure belongs to space group C2/m (No. 12); the cell edges are 7.0822, 3.1765 and 11.6009 Å and the angles 90.00°, 99.74° and 90.00°. Symmetry generates all atoms from Li at (0.1640, 0.0000, 0.0903), Nd at (0.0444, 0.0000, 0.6601) and B at (0.2164, 0.5000, 0.5001).